VASP calculation (PBE) on a geometry-optimized BaCr2Pb structure.

Cell lengths 3.785, 3.879, 7.807 Å; angles 90.00, 90.00, 90.00 degrees
Positions (direct):
Ba1 0.000 0.000 0.000
Cr1 0.500 0.500 0.311
Cr2 0.500 0.500 0.689
Pb1 0.000 0.000 0.500

Calculated values
Electronic total energy, eV/atom: -5.507
E_form, meV per atom: 713



VASP calculation (PBE) on a geometry-optimized AgP2Se structure.

Cell lengths 2.856, 2.856, 31.498 Å; angles 90.00, 90.00, 120.00 degrees
Positions (direct):
Ag1 0.000 0.000 0.000
Ag2 0.333 0.667 0.667
Ag3 0.667 0.333 0.333
P1 0.000 0.000 0.263
P2 0.000 0.000 0.737
P3 0.333 0.667 0.403
P4 0.333 0.667 0.930
P5 0.667 0.333 0.070
P6 0.667 0.333 0.597
Se1 0.000 0.000 0.500
Se2 0.333 0.667 0.167
Se3 0.667 0.333 0.833

Calculated values
Electronic total energy, eV/atom: -3.595
Uncorrected formation energy, eV per formula unit: 2.8



VASP calculation (PBE) on a geometry-optimized Ce2PrTm structure.

Cell lengths 3.492, 3.492, 10.206 Å; angles 90.00, 90.00, 90.00 degrees
Positions (direct):
Ce1 0.000 0.000 0.244
Ce2 0.000 0.000 0.756
Pr1 0.500 0.500 0.500
Tm1 0.500 0.500 0.000

Calculated values
Electronic total energy, eV/atom: -5.159
E_form, meV per atom: 120
Relative energy among the computed polymorphs, eV/atom: 0.018



VASP calculation (PBE) on a geometry-optimized ScTiTe2I structure.

Cell lengths 5.403, 5.403, 5.420 Å; angles 90.00, 90.00, 90.00 degrees
Positions (direct):
Sc1 0.000 0.000 0.000
Ti1 0.500 0.500 0.500
Te1 0.000 0.500 0.500
Te2 0.500 0.000 0.500
I1 0.500 0.500 0.000

Calculated values
Electronic total energy, eV/atom: -4.531
Uncorrected formation energy, eV per formula unit: -0.6
Relative energy among the computed polymorphs, eV/atom: 0.000



VASP calculation (PBE) on a geometry-optimized SrCaY2Ni structure.

Cell lengths 5.379, 5.379, 5.778 Å; angles 90.00, 90.00, 90.00 degrees
Positions (direct):
Sr1 0.000 0.000 0.000
Ca1 0.500 0.500 0.000
Y1 0.000 0.500 0.500
Y2 0.500 0.000 0.500
Ni1 0.500 0.500 0.500

Calculated values
Electronic total energy, eV/atom: -4.539
E_form, meV per atom: -60
Relative energy among the computed polymorphs, eV/atom: 0.000



VASP calculation (PBE) on a geometry-optimized Pm2TeAs structure.

Cell lengths 3.756, 3.756, 7.578 Å; angles 90.00, 90.00, 90.00 degrees
Positions (direct):
Pm1 0.000 0.000 0.230
Pm2 0.000 0.000 0.770
Te1 0.500 0.500 0.500
As1 0.500 0.500 0.000

Calculated values
Electronic total energy, eV/atom: -5.514
Uncorrected formation energy, eV per formula unit: -4.8
Relative energy among the computed polymorphs, eV/atom: 0.359



VASP calculation (PBE) on a geometry-optimized SrTmMgPt2 structure.

Cell lengths 4.458, 4.458, 12.141 Å; angles 90.00, 90.00, 90.00 degrees
Positions (direct):
Sr1 0.000 0.000 0.000
Sr2 0.500 0.500 0.500
Tm1 0.000 0.500 0.750
Tm2 0.500 0.000 0.250
Mg1 0.000 0.500 0.250
Mg2 0.500 0.000 0.750
Pt1 0.000 0.000 0.388
Pt2 0.000 0.000 0.612
Pt3 0.500 0.500 0.112
Pt4 0.500 0.500 0.888

Calculated values
Electronic total energy, eV/atom: -4.896
E_form, meV per atom: -930



VASP calculation (PBE) on a geometry-optimized La2P2Se structure.

Cell lengths 4.597, 4.597, 7.706 Å; angles 90.00, 90.00, 120.00 degrees
Positions (direct):
La1 0.333 0.667 0.256
La2 0.667 0.333 0.744
P1 0.333 0.667 0.888
P2 0.667 0.333 0.112
Se1 0.000 0.000 0.500

Calculated values
Electronic total energy, eV/atom: -5.923
Uncorrected formation energy, eV per formula unit: -5.5
Relative energy among the computed polymorphs, eV/atom: 0.326



VASP calculation (PBE) on a geometry-optimized NaLiZnCl2 structure.

Cell lengths 4.781, 4.781, 5.482 Å; angles 90.00, 90.00, 90.00 degrees
Positions (direct):
Na1 0.000 0.000 0.000
Li1 0.000 0.000 0.500
Zn1 0.500 0.500 0.000
Cl1 0.000 0.500 0.500
Cl2 0.500 0.000 0.500

Calculated values
Electronic total energy, eV/atom: -2.425
Uncorrected formation energy, eV per formula unit: -3.9



VASP calculation (PBE) on a geometry-optimized ScNbAsBr2 structure.

Cell lengths 5.114, 5.114, 5.160 Å; angles 90.00, 90.00, 90.00 degrees
Positions (direct):
Sc1 0.000 0.000 0.000
Nb1 0.500 0.500 0.500
As1 0.500 0.500 0.000
Br1 0.000 0.500 0.500
Br2 0.500 0.000 0.500

Calculated values
Electronic total energy, eV/atom: -4.839
Uncorrected formation energy, eV per formula unit: 0.2
Relative energy among the computed polymorphs, eV/atom: 0.000



VASP calculation (PBE) on a geometry-optimized TmPaPd structure.

Cell lengths 13.450, 3.118, 7.176 Å; angles 90.00, 104.20, 90.00 degrees
Positions (direct):
Tm1 0.027 0.000 0.263
Tm2 0.473 0.500 0.737
Tm3 0.527 0.500 0.263
Tm4 0.973 0.000 0.737
Pa1 0.222 0.000 0.648
Pa2 0.278 0.500 0.352
Pa3 0.722 0.500 0.648
Pa4 0.778 0.000 0.352
Pd1 0.161 0.000 0.008
Pd2 0.339 0.500 0.992
Pd3 0.661 0.500 0.008
Pd4 0.839 0.000 0.992

Calculated values
Electronic total energy, eV/atom: -6.450
E_form, meV per atom: -63
Relative energy among the computed polymorphs, eV/atom: 0.234



VASP calculation (PBE) on a geometry-optimized Mo2OsBr structure.

Cell lengths 5.275, 8.364, 2.931 Å; angles 90.00, 90.00, 90.00 degrees
Positions (direct):
Mo1 0.250 0.250 0.000
Mo2 0.250 0.750 0.000
Mo3 0.750 0.250 0.000
Mo4 0.750 0.750 0.000
Os1 0.000 0.000 0.500
Os2 0.500 0.500 0.500
Br1 0.000 0.500 0.500
Br2 0.500 0.000 0.500

Calculated values
Electronic total energy, eV/atom: -7.673
Uncorrected formation energy, eV per formula unit: 3.9
Relative energy among the computed polymorphs, eV/atom: 0.495



VASP calculation (PBE) on a geometry-optimized SrOs2Ru structure.

Cell lengths 2.802, 2.802, 29.868 Å; angles 90.00, 90.00, 120.00 degrees
Positions (direct):
Sr1 0.000 0.000 0.000
Sr2 0.333 0.667 0.667
Sr3 0.667 0.333 0.333
Os1 0.000 0.000 0.238
Os2 0.000 0.000 0.762
Os3 0.333 0.667 0.429
Os4 0.333 0.667 0.905
Os5 0.667 0.333 0.095
Os6 0.667 0.333 0.571
Ru1 0.000 0.000 0.500
Ru2 0.333 0.667 0.167
Ru3 0.667 0.333 0.833

Calculated values
Electronic total energy, eV/atom: -7.510
E_form, meV per atom: 845
Relative energy among the computed polymorphs, eV/atom: 0.239



VASP calculation (PBE) on a geometry-optimized Al2AuCl structure.

Cell lengths 3.655, 3.655, 21.176 Å; angles 90.00, 90.00, 120.00 degrees
Positions (direct):
Al1 0.000 0.000 0.238
Al2 0.000 0.000 0.762
Al3 0.333 0.667 0.429
Al4 0.333 0.667 0.904
Al5 0.667 0.333 0.096
Al6 0.667 0.333 0.571
Au1 0.000 0.000 0.500
Au2 0.333 0.667 0.167
Au3 0.667 0.333 0.833
Cl1 0.000 0.000 0.000
Cl2 0.333 0.667 0.667
Cl3 0.667 0.333 0.333

Calculated values
Electronic total energy, eV/atom: -3.477
Uncorrected formation energy, eV per formula unit: -1.3
Relative energy among the computed polymorphs, eV/atom: 0.174